(1)
The following is a DFT calculation (PBE) of ScCo3Mo after structural relaxation.

Its distance to the lowest polymorph of the same formula is 0 meV per atom.

The space group is Pm-3m (No. 221) and the conventional cell measures 4.403, 4.403 and 4.403 Å, with angles of 90.00, 90.00 and 90.00 degrees. Symmetry generates all atoms from Sc at (0.000, 0.000, 0.000), Co at (0.000, 0.500, 0.500) and Mo at (0.500, 0.500, 0.500).

(2)
The following is a DFT calculation (PBE) of KCaRe after structural relaxation.

Its distance to the lowest polymorph of the same formula is 691 meV per atom.

The space group is F-43m (No. 216) and the conventional cell measures 7.523, 7.523 and 7.523 Å, with angles of 90.00, 90.00 and 90.00 degrees. Symmetry generates all atoms from K at (0.000, 0.000, 0.000), Ca at (0.000, 0.000, 0.500) and Re at (0.250, 0.250, 0.250).

(3)
The following is a DFT calculation (PBE) of GdErBeIr after structural relaxation.

For the total energy, the calculation gives -8.20 eV per atom.

The space group is F-43m (No. 216) and the conventional cell measures 6.854, 6.854 and 6.854 Å, with angles of 90.00, 90.00 and 90.00 degrees. Symmetry generates all atoms from Gd at (0.000, 0.000, 0.000), Er at (0.000, 0.000, 0.500), Be at (0.250, 0.250, 0.750) and Ir at (0.250, 0.250, 0.250).

(4)
The following is a DFT calculation (PBE) of Cs2ZnInCl6 after structural relaxation.

As for the uncorrected formation energy: -1.42 eV/atom.

The space group is I4/mmm (No. 139) and the conventional cell measures 7.437, 7.437 and 10.566 Å, with angles of 90.00, 90.00 and 90.00 degrees. Symmetry generates all atoms from Cs at (0.000, 0.500, 0.250), Zn at (0.000, 0.000, 0.000), In at (0.000, 0.000, 0.500), Cl at (0.000, 0.000, 0.241) and Cl at (0.240, 0.240, 0.000).

(5)
The following is a DFT calculation (PBE) of La2PrNd3S6 after structural relaxation.

As for the uncorrected formation energy: -2.08 eV/atom.

The space group is C2/m (No. 12) and the conventional cell measures 7.102, 12.331 and 7.103 Å, with angles of 90.00, 109.54 and 90.00 degrees. Symmetry generates all atoms from La at (0.000, 0.166, 0.000), Pr at (0.000, 0.500, 0.000), Nd at (0.000, 0.000, 0.500), Nd at (0.000, 0.334, 0.500), S at (0.248, 0.500, 0.745) and S at (0.249, 0.166, 0.746).

(6)
The following is a DFT calculation (PBE) of Li3Ag2 after structural relaxation.

Its distance to the lowest polymorph of the same formula is 9 meV per atom.

The space group is P4/mmm (No. 123) and the conventional cell measures 3.230, 3.230 and 15.814 Å, with angles of 90.00, 90.00 and 90.00 degrees. Symmetry generates all atoms from Li at (0.000, 0.000, 0.000), Li at (0.000, 0.000, 0.195), Li at (0.000, 0.000, 0.387), Li at (0.500, 0.500, 0.500), Ag at (0.500, 0.500, 0.098) and Ag at (0.500, 0.500, 0.294).

(7)
The following is a DFT calculation (PBE) of Tm6AlP2Se3 after structural relaxation.

As for the uncorrected formation energy: -1.45 eV/atom.

The space group is C2/m (No. 12) and the conventional cell measures 17.670, 3.957 and 8.205 Å, with angles of 90.00, 103.86 and 90.00 degrees. Symmetry generates all atoms from Tm at (0.004, 0.000, 0.254), Tm at (0.166, 0.500, 0.098), Tm at (0.173, 0.500, 0.571), Al at (0.000, 0.500, 0.000), P at (0.168, 0.000, 0.336), Se at (0.000, 0.500, 0.500) and Se at (0.168, 0.000, 0.831).

(8)
The following is a DFT calculation (PBE) of TbAl5Ga6 after structural relaxation.

For the total energy, the calculation gives -3.53 eV per atom.

The space group is C2/m (No. 12) and the conventional cell measures 8.915, 9.374 and 5.505 Å, with angles of 90.00, 102.27 and 90.00 degrees. Symmetry generates all atoms from Tb at (0.000, 0.000, 0.000), Al at (0.000, 0.163, 0.500), Al at (0.000, 0.343, 0.000), Al at (0.000, 0.500, 0.500), Ga at (0.240, 0.321, 0.734) and Ga at (0.247, 0.500, 0.277).

(9)
The following is a DFT calculation (PBE) of BeAlBrCl2 after structural relaxation.

As for the uncorrected formation energy: 0.25 eV/atom.

The space group is P4/mmm (No. 123) and the conventional cell measures 6.315, 6.315 and 3.894 Å, with angles of 90.00, 90.00 and 90.00 degrees. Symmetry generates all atoms from Be at (0.000, 0.000, 0.000), Al at (0.500, 0.500, 0.000), Br at (0.000, 0.000, 0.500) and Cl at (0.000, 0.500, 0.500).

(10)
The following is a DFT calculation (PBE) of Li3Cd4Ag2 after structural relaxation.

Its distance to the lowest polymorph of the same formula is 0 meV per atom.

The space group is P-1 (No. 2) and the conventional cell measures 4.618, 4.768 and 8.685 Å, with angles of 87.84, 89.93 and 61.08 degrees. Symmetry generates all atoms from Li at (0.000, 0.000, 0.000), Li at (0.332, 0.337, 0.448), Cd at (0.001, 0.998, 0.665), Cd at (0.334, 0.332, 0.114) and Ag at (0.334, 0.332, 0.775).

(11)
The following is a DFT calculation (PBE) of Ti4Nb2Ga after structural relaxation.

For the total energy, the calculation gives -7.04 eV per atom.

The space group is I4/mmm (No. 139) and the conventional cell measures 4.724, 4.724 and 12.754 Å, with angles of 90.00, 90.00 and 90.00 degrees. Symmetry generates all atoms from Ti at (0.000, 0.000, 0.195), Ti at (0.000, 0.500, 0.000), Nb at (0.000, 0.000, 0.391) and Ga at (0.000, 0.000, 0.000).

(12)
The following is a DFT calculation (PBE) of Pr8Y3 after structural relaxation.

Its distance to the lowest polymorph of the same formula is 0 meV per atom.

The space group is C2/m (No. 12) and the conventional cell measures 11.635, 5.187 and 13.293 Å, with angles of 90.00, 105.15 and 90.00 degrees. Symmetry generates all atoms from Pr at (0.046, 0.000, 0.318), Pr at (0.136, 0.000, 0.954), Pr at (0.181, 0.500, 0.773), Pr at (0.228, 0.000, 0.591), Y at (0.000, 0.500, 0.500) and Y at (0.091, 0.500, 0.135).

(13)
The following is a DFT calculation (PBE) of AcMgGa2Pt4 after structural relaxation.

For the total energy, the calculation gives -5.35 eV per atom.

The space group is R-3m (No. 166, hexagonal axes) and the conventional cell measures 4.3683, 4.3683 and 27.4164 Å, with angles of 90.00, 90.00 and 120.00 degrees. Symmetry generates all atoms from Ac at (0.0000, 0.0000, 0.0000), Mg at (0.0000, 0.0000, 0.5000), Ga at (0.0000, 0.0000, 0.2362), Pt at (0.0000, 0.0000, 0.1338) and Pt at (0.0000, 0.0000, 0.4051).

(14)
The following is a DFT calculation (PBE) of Ac4La2Sm5 after structural relaxation.

For the total energy, the calculation gives -4.50 eV per atom.

The space group is C2/m (No. 12) and the conventional cell measures 19.183, 5.403 and 8.372 Å, with angles of 90.00, 103.95 and 90.00 degrees. Symmetry generates all atoms from Ac at (0.044, 0.000, 0.231), Ac at (0.182, 0.500, 0.412), La at (0.092, 0.500, 0.950), Sm at (0.000, 0.500, 0.500), Sm at (0.140, 0.000, 0.692) and Sm at (0.226, 0.000, 0.128).

(15)
The following is a DFT calculation (PBE) of SrAuS2Cl after structural relaxation.

As for the uncorrected formation energy: -0.70 eV/atom. Its distance to the lowest polymorph of the same formula is 0 meV per atom.

The space group is P4/mmm (No. 123) and the conventional cell measures 4.940, 4.940 and 5.008 Å, with angles of 90.00, 90.00 and 90.00 degrees. Symmetry generates all atoms from Sr at (0.000, 0.000, 0.000), Au at (0.500, 0.500, 0.500), S at (0.000, 0.500, 0.500) and Cl at (0.500, 0.500, 0.000).